--- w ---
Material: CoC2I
Method: DFT, PBE
State: optimized geometry

Output
* spin magnetization: 0.000 μB per atom
* D(E_F): 2.0 states/eV per cell
* calculated density: 5685 kg/m³

Cell and atoms, written as extended XYZ:
```
8
Lattice="-3.5021 -1.9548 3.3439 3.8683 -1.5346 3.1542 0.0126 2.2093 5.3820" Properties=species:S:1:pos:R:3 pbc="T T T"
Co 0.1831 -1.7447 3.2490
Co 2.0320 -0.5350 5.8926
I -1.6532 -0.7451 5.9875
I 0.0000 0.0000 0.0000
C -1.2038 -0.5831 3.3539
C 1.4848 -0.9293 4.2106
C 0.6972 0.1301 6.9221
C -0.2205 -1.1779 9.2735
```

---

--- x ---
Material: CoC2I
Method: DFT, PBE
State: optimized geometry

Output
* spin magnetization: 0.000 μB per atom
* D(E_F): 4.4 states/eV per cell
* calculated density: 7533 kg/m³

Cell and atoms, written as extended XYZ:
```
4
Lattice="0.0000 2.8492 2.8492 2.8492 0.0000 2.8492 2.8492 2.8492 0.0000" Properties=species:S:1:pos:R:3 pbc="T T T"
C 4.2738 4.2738 4.2738
C 1.4246 1.4246 1.4246
I 2.8492 2.8492 2.8492
Co 0.0000 0.0000 0.0000
```

---

Need the numbers? Relative energies in eV/atom: w 0.000; x 1.159.

---

--- w ---
Material: Co2CI
Method: DFT, PBE
State: optimized geometry

Output
* spin magnetization: 0.001 μB per atom
* D(E_F): 11.4 states/eV per cell
* calculated density: 7145 kg/m³

Cell and atoms, written as extended XYZ:
```
8
Lattice="4.7452 0.0000 0.0000 0.0000 4.7452 0.0000 2.3726 2.3726 5.3008" Properties=species:S:1:pos:R:3 pbc="T T T"
I 0.0000 0.0000 0.0000
I 4.7452 2.3726 2.6504
Co 2.9688 1.1863 1.3252
Co 1.7763 3.5589 1.3252
Co 3.5589 4.1489 3.9756
Co 5.9315 5.3414 3.9756
C 2.3726 2.3726 0.0000
C 2.3726 4.7452 2.6504
```

---

--- x ---
Material: Co2CI
Method: DFT, PBE
State: optimized geometry

Output
* spin magnetization: 0.463 μB per atom
* D(E_F): 6.0 states/eV per cell
* calculated density: 8201 kg/m³

Cell and atoms, written as extended XYZ:
```
4
Lattice="0.0000 2.9623 2.9623 2.9623 0.0000 2.9623 2.9623 2.9623 0.0000" Properties=species:S:1:pos:R:3 pbc="T T T"
Co 1.4812 1.4812 1.4812
Co 4.4435 4.4435 4.4435
C 0.0000 0.0000 0.0000
I 2.9623 2.9623 2.9623
```

---

Need the numbers? Relative energies in eV/atom: w 0.000; x 1.027.

---

--- w ---
Material: CoCI2
Method: DFT, PBE
State: optimized geometry

Output
* spin magnetization: 0.250 μB per atom
* D(E_F): 2.8 states/eV per cell
* calculated density: 5566 kg/m³

Cell and atoms, written as extended XYZ:
```
8
Lattice="-0.6962 1.0043 -5.6110 -5.0632 -2.7056 0.1440 -5.5590 4.2294 -1.4918" Properties=species:S:1:pos:R:3 pbc="T T T"
Co 0.0000 0.0000 0.0000
Co -4.5675 2.1915 -4.9182
I -2.4599 1.3499 -3.8790
I -6.3135 2.5423 -3.1694
I -9.2242 1.6751 -5.9021
I -4.6391 -0.5112 -0.9672
C -6.7509 0.3366 -2.0407
C -2.8797 -0.8507 -2.7335
```

---

--- x ---
Material: CoCI2
Method: DFT, PBE
State: optimized geometry

Output
* spin magnetization: 0.270 μB per atom
* D(E_F): 6.0 states/eV per cell
* calculated density: 6796 kg/m³

Cell and atoms, written as extended XYZ:
```
4
Lattice="0.0000 3.4107 3.4107 3.4107 0.0000 3.4107 3.4107 3.4107 0.0000" Properties=species:S:1:pos:R:3 pbc="T T T"
I 1.7053 1.7053 1.7053
I 5.1160 5.1160 5.1160
C 0.0000 0.0000 0.0000
Co 3.4107 3.4107 3.4107
```

---

Need the numbers? Relative energies in eV/atom: w 0.000; x 0.487.

---

--- w ---
Material: CoCI2N
Method: DFT, PBE
State: optimized geometry

Output
* spin magnetization: 0.511 μB per atom
* D(E_F): 2.9 states/eV per cell
* calculated density: 3793 kg/m³

Cell and atoms, written as extended XYZ:
```
5
Lattice="7.5412 0.0000 0.0000 0.0000 7.5412 0.0000 0.0000 0.0000 2.6081" Properties=species:S:1:pos:R:3 pbc="T T T"
Co 3.7706 3.7706 1.3041
I 3.7706 0.0000 0.0000
I 0.0000 3.7706 0.0000
N 0.0000 0.0000 1.3041
C 0.0000 0.0000 0.0000
```

---

--- x ---
Material: CoCI2N
Method: DFT, PBE
State: optimized geometry

Output
* spin magnetization: 0.183 μB per atom
* D(E_F): 4.3 states/eV per cell
* calculated density: 5784 kg/m³

Cell and atoms, written as extended XYZ:
```
5
Lattice="-3.6166 -2.5548 2.9523 0.7956 -4.4222 -2.8520 2.4661 -0.9657 2.1854" Properties=species:S:1:pos:R:3 pbc="T T T"
Co 0.0000 0.0000 0.0000
C -0.1774 -3.9713 1.1428
N 1.2331 -0.4829 1.0927
I -1.8083 -1.2774 1.4762
I 0.3978 -2.2111 -1.4260
```

---

Need the numbers? Relative energies in eV/atom: w 0.000; x 0.325.

---

--- w ---
Material: CoSb2CI
Method: DFT, PBE
State: optimized geometry

Output
* spin magnetization: 0.344 μB per atom
* D(E_F): 4.6 states/eV per cell
* calculated density: 5779 kg/m³

Cell and atoms, written as extended XYZ:
```
5
Lattice="-2.7988 -1.1563 3.7567 -1.6679 -3.8266 -2.4204 4.0178 -3.0505 2.0543" Properties=species:S:1:pos:R:3 pbc="T T T"
Sb -1.3994 -0.5782 1.8784
Sb -0.8339 -1.9133 -1.2102
I 2.0089 -1.5253 1.0271
C -0.2244 -4.0168 1.6953
Co 0.0000 0.0000 0.0000
```

---

--- x ---
Material: CoSb2CI
Method: DFT, PBE
State: optimized geometry

Output
* spin magnetization: 0.330 μB per atom
* D(E_F): 4.9 states/eV per cell
* calculated density: 6794 kg/m³

Cell and atoms, written as extended XYZ:
```
5
Lattice="4.6785 0.0000 0.0000 0.0000 4.6785 0.0000 0.0000 0.0000 4.9284" Properties=species:S:1:pos:R:3 pbc="T T T"
Sb 2.3393 0.0000 0.0000
Sb 0.0000 2.3393 0.0000
C 0.0000 0.0000 0.0000
I 0.0000 0.0000 2.4642
Co 2.3393 2.3393 2.4642
```

---

Need the numbers? Relative energies in eV/atom: w 0.170; x 0.000.

---

--- w ---
Material: InCo2C
Method: DFT, PBE
State: optimized geometry

Output
* spin magnetization: 0.000 μB per atom
* D(E_F): 3.7 states/eV per cell
* calculated density: 8094 kg/m³

Cell and atoms, written as extended XYZ:
```
8
Lattice="6.0696 0.0000 0.0000 0.0000 6.0696 0.0000 3.0348 3.0348 2.7252" Properties=species:S:1:pos:R:3 pbc="T T T"
In 6.0696 3.0348 1.3626
In 0.0000 0.0000 0.0000
Co 4.5522 5.2811 2.0439
Co 7.5870 6.8582 2.0439
Co 3.8234 1.5174 0.6813
Co 2.2462 4.5522 0.6813
C 3.0348 3.0348 0.0000
C 3.0348 6.0696 1.3626
```

---

--- x ---
Material: InCo2C
Method: DFT, PBE
State: optimized geometry

Output
* spin magnetization: 0.387 μB per atom
* D(E_F): 3.3 states/eV per cell
* calculated density: 8362 kg/m³

Cell and atoms, written as extended XYZ:
```
4
Lattice="0.0000 2.8963 2.8963 2.8963 0.0000 2.8963 2.8963 2.8963 0.0000" Properties=species:S:1:pos:R:3 pbc="T T T"
In 2.8963 2.8963 2.8963
Co 1.4481 1.4481 1.4481
Co 4.3444 4.3444 4.3444
C 0.0000 0.0000 0.0000
```

---

Need the numbers? Relative energies in eV/atom: w 0.000; x 1.025.

---

--- w ---
Material: LaInCo2C
Method: DFT, PBE
State: optimized geometry

Output
* spin magnetization: 0.377 μB per atom
* D(E_F): 2.8 states/eV per cell
* calculated density: 7733 kg/m³

Cell and atoms, written as extended XYZ:
```
5
Lattice="-1.7537 -3.7415 -0.9793 0.8582 -1.5082 4.2252 -3.7843 1.4382 1.2820" Properties=species:S:1:pos:R:3 pbc="T T T"
C 0.0000 0.0000 0.0000
Co -0.8768 -1.8707 -0.4896
Co -1.8921 0.7191 0.6410
La -2.3399 -1.9057 2.2640
In 0.4291 -0.7541 2.1126
```

---

--- x ---
Material: LaInCo2C
Method: DFT, PBE
State: optimized geometry

Output
* spin magnetization: 0.405 μB per atom
* D(E_F): 3.1 states/eV per cell
* calculated density: 5626 kg/m³

Cell and atoms, written as extended XYZ:
```
5
Lattice="4.4054 0.0000 0.0000 0.0000 5.8336 0.0000 0.0000 0.0000 4.4054" Properties=species:S:1:pos:R:3 pbc="T T T"
C 2.2027 2.9168 2.2027
Co 2.2027 0.0000 0.0000
Co 0.0000 0.0000 2.2027
In 0.0000 2.9168 0.0000
La 0.0000 0.0000 0.0000
```

---

Need the numbers? Relative energies in eV/atom: w 0.000; x 1.986.

---

--- w ---
Material: CoIr3C
Method: DFT, PBE
State: optimized geometry

Output
* spin magnetization: 0.620 μB per atom
* D(E_F): 6.7 states/eV per cell
* calculated density: 16179 kg/m³

Cell and atoms, written as extended XYZ:
```
5
Lattice="-3.3108 2.2739 -0.5252 -1.7472 -3.0194 -2.0588 -1.5472 -1.4562 3.4487" Properties=species:S:1:pos:R:3 pbc="T T T"
Co -3.3026 -1.1008 0.4324
Ir -0.8736 -1.5097 -1.0294
Ir -1.6554 1.1370 -0.2626
Ir -0.7736 -0.7281 1.7244
C 0.0000 0.0000 0.0000
```

---

--- x ---
Material: CoIr3C
Method: DFT, PBE
State: optimized geometry

Output
* spin magnetization: 0.638 μB per atom
* D(E_F): 6.7 states/eV per cell
* calculated density: 12349 kg/m³

Cell and atoms, written as extended XYZ:
```
5
Lattice="-2.4426 -0.6033 3.6490 -2.9297 -2.3535 -2.3502 2.2575 -3.7071 0.8982" Properties=species:S:1:pos:R:3 pbc="T T T"
C -1.5574 -3.3320 1.0985
Ir 1.1287 -1.8536 0.4491
Ir -1.2213 -0.3016 1.8245
Ir -1.4649 -1.1768 -1.1751
Co 0.0000 0.0000 0.0000
```

---

Need the numbers? Relative energies in eV/atom: w 0.000; x 2.225.

---

--- w ---
Material: Ta2CoIrC
Method: DFT, PBE
State: optimized geometry

Output
* spin magnetization: 0.225 μB per atom
* D(E_F): 3.4 states/eV per cell
* calculated density: 15127 kg/m³

Cell and atoms, written as extended XYZ:
```
5
Lattice="4.2615 0.0000 0.0000 0.0000 4.2615 0.0000 0.0000 0.0000 3.7782" Properties=species:S:1:pos:R:3 pbc="T T T"
C 0.0000 0.0000 0.0000
Co 0.0000 0.0000 1.8891
Ta 2.1308 0.0000 0.0000
Ta 0.0000 2.1308 0.0000
Ir 2.1308 2.1308 1.8891
```

---

--- x ---
Material: Ta2CoIrC
Method: DFT, PBE
State: optimized geometry

Output
* spin magnetization: 0.377 μB per atom
* D(E_F): 5.7 states/eV per cell
* calculated density: 10020 kg/m³

Cell and atoms, written as extended XYZ:
```
5
Lattice="4.7998 0.0000 0.0000 0.0000 4.4961 0.0000 0.0000 0.0000 4.7998" Properties=species:S:1:pos:R:3 pbc="T T T"
C 2.3999 2.2481 2.3999
Co 0.0000 2.2481 0.0000
Ir 0.0000 0.0000 0.0000
Ta 0.0000 0.0000 2.3999
Ta 2.3999 0.0000 0.0000
```

---

Need the numbers? Relative energies in eV/atom: w 0.000; x 2.599.

---

--- w ---
Material: KCo3C
Method: DFT, PBE
State: optimized geometry

Output
* spin magnetization: 0.380 μB per atom
* D(E_F): 5.4 states/eV per cell
* calculated density: 6069 kg/m³

Cell and atoms, written as extended XYZ:
```
5
Lattice="3.9656 0.0000 0.0000 0.0000 3.9656 0.0000 0.0000 0.0000 3.9656" Properties=species:S:1:pos:R:3 pbc="T T T"
Co 0.0000 0.0000 1.9828
Co 1.9828 0.0000 0.0000
Co 0.0000 1.9828 0.0000
K 1.9828 1.9828 1.9828
C 0.0000 0.0000 0.0000
```

---

--- x ---
Material: KCo3C
Method: DFT, PBE
State: optimized geometry

Output
* spin magnetization: 1.019 μB per atom
* D(E_F): 11.3 states/eV per cell
* calculated density: 4441 kg/m³

Cell and atoms, written as extended XYZ:
```
5
Lattice="4.4005 0.0000 0.0000 0.0000 4.4005 0.0000 0.0000 0.0000 4.4005" Properties=species:S:1:pos:R:3 pbc="T T T"
K 0.0000 0.0000 0.0000
Co 2.2002 0.0000 0.0000
Co 0.0000 2.2002 0.0000
Co 0.0000 0.0000 2.2002
C 2.2002 2.2002 2.2002
```

---

Need the numbers? Relative energies in eV/atom: w 0.000; x 2.819.

---

--- w ---
Material: LaCoC3
Method: DFT, PBE
State: optimized geometry

Output
* spin magnetization: 0.678 μB per atom
* D(E_F): 4.7 states/eV per cell
* calculated density: 6460 kg/m³

Cell and atoms, written as extended XYZ:
```
5
Lattice="-1.7377 -3.5039 -0.2195 0.4016 0.0449 -3.8964 3.4877 -1.7509 0.3393" Properties=species:S:1:pos:R:3 pbc="T T T"
C -0.8689 -1.7520 -0.1097
C 0.2008 0.0225 -1.9482
C 1.7439 -0.8755 0.1697
La 1.0758 -2.6050 -1.8883
Co 0.0000 0.0000 0.0000
```

---

--- x ---
Material: LaCoC3
Method: DFT, PBE
State: optimized geometry

Output
* spin magnetization: 0.000 μB per atom
* D(E_F): 4.3 states/eV per cell
* calculated density: 4615 kg/m³

Cell and atoms, written as extended XYZ:
```
5
Lattice="-2.2850 -2.8136 -2.4627 -0.8648 -2.4102 3.5560 -3.6378 2.3402 0.7015" Properties=species:S:1:pos:R:3 pbc="T T T"
C -0.4324 -1.2051 1.7780
C -1.1425 -1.4068 -1.2313
C -1.8189 1.1701 0.3508
Co -3.3937 -1.4418 0.8975
La 0.0000 0.0000 0.0000
```

---

Need the numbers? Relative energies in eV/atom: w 0.000; x 2.182.

---

--- w ---
Material: NaLa2CoC
Method: DFT, PBE
State: optimized geometry

Output
* spin magnetization: 0.001 μB per atom
* D(E_F): 3.9 states/eV per cell
* calculated density: 5580 kg/m³

Cell and atoms, written as extended XYZ:
```
5
Lattice="-1.9231 2.1474 4.6302 3.3852 -3.1664 2.8746 2.6044 2.6504 -0.1475" Properties=species:S:1:pos:R:3 pbc="T T T"
Co 1.3022 1.3252 -0.0738
La 1.6926 -1.5832 1.4373
La -0.9616 1.0737 2.3151
Na 2.0332 0.8157 3.6786
C 0.0000 0.0000 0.0000
```

---

--- x ---
Material: NaLa2CoC
Method: DFT, PBE
State: optimized geometry

Output
* spin magnetization: 0.000 μB per atom
* D(E_F): 5.1 states/eV per cell
* calculated density: 5318 kg/m³

Cell and atoms, written as extended XYZ:
```
5
Lattice="-4.0085 -1.1314 -3.7242 1.4590 -3.3767 -0.5446 -3.2162 -2.0483 4.0840" Properties=species:S:1:pos:R:3 pbc="T T T"
La -2.0043 -0.5657 -1.8621
La -1.6081 -1.0242 2.0420
C 0.7295 -1.6883 -0.2723
Co 0.0000 0.0000 0.0000
Na -2.8828 -3.2782 -0.0924
```

---

Need the numbers? Relative energies in eV/atom: w 0.000; x 0.321.

---

--- w ---
Material: La2CoNiC
Method: DFT, PBE
State: optimized geometry

Output
* spin magnetization: 0.000 μB per atom
* D(E_F): 2.8 states/eV per cell
* calculated density: 6803 kg/m³

Cell and atoms, written as extended XYZ:
```
5
Lattice="5.2485 0.0000 0.0000 0.0000 5.2485 0.0000 0.0000 0.0000 3.6102" Properties=species:S:1:pos:R:3 pbc="T T T"
Ni 2.6242 2.6242 1.8051
La 2.6242 0.0000 0.0000
La 0.0000 2.6242 0.0000
Co 0.0000 0.0000 1.8051
C 0.0000 0.0000 0.0000
```

---

--- x ---
Material: La2CoNiC
Method: DFT, PBE
State: optimized geometry

Output
* spin magnetization: 0.154 μB per atom
* D(E_F): 5.0 states/eV per cell
* calculated density: 6743 kg/m³

Cell and atoms, written as extended XYZ:
```
5
Lattice="5.2678 0.0000 0.0000 0.0000 5.2678 0.0000 0.0000 0.0000 3.6161" Properties=species:S:1:pos:R:3 pbc="T T T"
La 2.6339 0.0000 0.0000
La 0.0000 2.6339 0.0000
Ni 0.0000 0.0000 1.8081
Co 2.6339 2.6339 1.8081
C 0.0000 0.0000 0.0000
```

---

Need the numbers? Relative energies in eV/atom: w 0.000; x 0.150.

---

--- w ---
Material: LiCoC3
Method: DFT, PBE
State: optimized geometry

Output
* spin magnetization: 0.388 μB per atom
* D(E_F): 5.0 states/eV per cell
* calculated density: 3208 kg/m³

Cell and atoms, written as extended XYZ:
```
5
Lattice="-2.4694 2.8086 0.2833 -1.2710 -1.4423 3.2203 2.5205 2.0243 1.9015" Properties=species:S:1:pos:R:3 pbc="T T T"
C 1.2602 1.0121 0.9507
C -1.2347 1.4043 0.1416
C -0.6355 -0.7212 1.6101
Li -0.6100 1.6952 2.7025
Co 0.0000 0.0000 0.0000
```

---

--- x ---
Material: LiCoC3
Method: DFT, PBE
State: optimized geometry

Output
* spin magnetization: 0.000 μB per atom
* D(E_F): 2.8 states/eV per cell
* calculated density: 3871 kg/m³

Cell and atoms, written as extended XYZ:
```
5
Lattice="3.5226 0.0000 0.0000 0.0000 3.5226 0.0000 0.0000 0.0000 3.5226" Properties=species:S:1:pos:R:3 pbc="T T T"
Co 1.7613 1.7613 1.7613
C 0.0000 0.0000 1.7613
C 1.7613 0.0000 0.0000
C 0.0000 1.7613 0.0000
Li 0.0000 0.0000 0.0000
```

---

Need the numbers? Relative energies in eV/atom: w 0.000; x 1.027.